[1]
First-principles (GGA-PBE) data for a relaxed BaTl6Pd4 crystal, as listed in OQMD.

Cell: 7.3193 7.3193 7.3193 Å, 120.11 120.11 89.80°
Fractional coordinates of all 11 atoms:
Ba 0.0000 0.0000 0.0000
Tl 0.0000 0.5000 0.5000
Tl 0.1127 0.4765 0.0000
Tl 0.4765 0.1127 0.0000
Tl 0.5000 0.0000 0.5000
Tl 0.5235 0.5235 0.6362
Tl 0.8873 0.8873 0.3638
Pd 0.2572 0.2572 0.6663
Pd 0.4091 0.7428 0.0000
Pd 0.5909 0.5909 0.3337
Pd 0.7428 0.4091 0.0000

Values from the calculation:
Its space-group type is No. 121.

***

[2]
First-principles (GGA-PBE) data for a relaxed RbCuSb crystal, as listed in OQMD.

Cell: 5.4728 5.4728 5.4728 Å, 60.00 60.00 60.00°
Fractional coordinates of all 3 atoms:
Rb 0.0000 0.0000 0.0000
Cu 0.7500 0.7500 0.7500
Sb 0.2500 0.2500 0.2500

Values from the calculation:
Its space-group type is No. 216.

***

[3]
First-principles (GGA-PBE) data for a relaxed AlCuTcAg crystal, as listed in OQMD.

Cell: 4.3783 4.3783 4.3783 Å, 60.00 60.00 60.00°
Fractional coordinates of all 4 atoms:
Al 0.0000 0.0000 0.0000
Cu 0.2500 0.2500 0.2500
Tc 0.7500 0.7500 0.7500
Ag 0.5000 0.5000 0.5000

Values from the calculation:
Its space-group type is No. 216.

***

[4]
First-principles (GGA-PBE) data for a relaxed ScZnCo2 crystal, as listed in OQMD.

Cell: 4.4225 5.4369 5.4369 Å, 123.37 90.00 90.00°
Fractional coordinates of all 8 atoms:
Sc 0.2500 0.0948 0.9052
Sc 0.7500 0.9052 0.0948
Zn 0.2500 0.1141 0.4381
Zn 0.7500 0.4381 0.1141
Co 0.2500 0.5944 0.4364
Co 0.2500 0.5998 0.9295
Co 0.7500 0.4364 0.5944
Co 0.7500 0.9295 0.5998

Values from the calculation:
Its space-group type is No. 40. The formation energy comes out at -0.017 eV/atom.

***

The evaluated energy for the records listed, in turn: -3.619, -1.915, -4.939, -5.468 eV/atom.